A relaxed structure of GdDyPb2, computed with PBE.

Properties
* crystal system: orthorhombic
* uncorrected energy: -4.66 eV/atom
* magnetization: 0.0 μB/cell
* calculated density: 10.4 g/cm3

POSCAR file:
```
GdDyPb2
1.0
4.441 0.000 0.000
0.000 2.265 5.853
0.000 -2.265 5.853
Gd Dy Pb
1 1 2
Cartesian
0.000 0.000 0.000
2.220 0.000 8.664
0.000 0.000 3.154
2.220 0.000 5.509
```


A relaxed structure of GdDyPb, computed with PBE.

Properties
* crystal system: cubic
* magnetization: 0.0 μB/cell
* relative energy among the computed polymorphs: 0 meV/atom
* calculated density: 8.9 g/cm3

POSCAR file:
```
GdDyPb
1.0
0.000 3.668 3.668
3.668 0.000 3.668
3.668 3.668 0.000
Gd Dy Pb
1 1 1
Cartesian
0.000 0.000 0.000
3.668 3.668 3.668
5.503 5.503 5.503
```


A relaxed structure of GdDyPd2Pb, computed with PBE.

Properties
* crystal system: orthorhombic
* uncorrected energy: -5.47 eV/atom
* magnetization: 0.0 μB/cell
* calculated density: 10.6 g/cm3

POSCAR file:
```
GdDyPd2Pb
1.0
3.649 0.000 0.000
0.000 2.122 7.497
0.000 -2.122 7.497
Gd Dy Pd Pb
1 1 2 1
Cartesian
0.000 0.000 0.000
0.000 0.000 10.951
1.825 0.000 2.610
1.825 0.000 8.375
1.825 0.000 5.475
```


A relaxed structure of GdDyPt4Pb2, computed with PBE.

Properties
* crystal system: hexagonal
* uncorrected energy: -5.88 eV/atom
* magnetization: 0.0 μB/cell
* calculated density: 14.7 g/cm3

POSCAR file:
```
GdDyPt4Pb2
1.0
4.662 0.000 0.000
-2.331 4.037 0.000
0.000 0.000 9.079
Gd Dy Pt Pb
1 1 4 2
Cartesian
0.000 0.000 0.000
0.000 2.691 4.540
0.000 0.000 3.143
0.000 0.000 5.936
0.000 2.691 1.409
0.000 2.691 7.670
2.331 1.346 2.278
2.331 1.346 6.801
```


A relaxed structure of Pr3Gd2DyTe2Pd, computed with PBE.

Properties
* crystal system: orthorhombic
* uncorrected energy: -5.27 eV/atom
* magnetization: 0.0 μB/cell
* calculated density: 8.0 g/cm3

POSCAR file:
```
Pr3Gd2DyTe2Pd
1.0
4.077 0.000 0.000
0.000 7.442 4.302
0.000 -7.442 4.302
Pr Gd Dy Te Pd
3 2 1 2 1
Cartesian
0.000 0.000 0.000
0.000 -3.034 3.337
0.000 3.034 3.337
2.038 -1.815 6.141
2.038 1.815 6.141
2.038 0.000 3.003
2.038 -4.967 5.095
2.038 4.967 5.095
0.000 0.000 5.068
```


A relaxed structure of Pr3GdDy2Te2Pd, computed with PBE.

Properties
* crystal system: orthorhombic
* uncorrected energy: -5.26 eV/atom
* magnetization: 0.0 μB/cell
* calculated density: 8.1 g/cm3

POSCAR file:
```
Pr3GdDy2Te2Pd
1.0
4.078 0.000 0.000
0.000 7.423 4.282
0.000 -7.423 4.282
Pr Gd Dy Te Pd
3 1 2 2 1
Cartesian
0.000 0.000 0.000
0.000 -3.024 5.230
0.000 3.024 5.230
2.039 0.000 5.569
2.039 -1.798 2.448
2.039 1.798 2.448
2.039 -4.944 3.488
2.039 4.944 3.488
0.000 0.000 3.468
```


A relaxed structure of GdDy2Sn3PdPt2, computed with PBE.

Properties
* crystal system: orthorhombic
* uncorrected energy: -5.84 eV/atom
* magnetization: 0.0 μB/cell
* calculated density: 11.2 g/cm3

POSCAR file:
```
GdDy2Sn3PdPt2
1.0
4.027 0.000 0.000
0.000 6.539 3.763
0.000 -6.539 3.763
Gd Dy Sn Pd Pt
1 2 3 1 2
Cartesian
0.000 0.000 0.000
0.000 -2.670 4.612
0.000 2.670 4.612
2.013 -1.688 2.113
2.013 1.688 2.113
2.013 0.000 5.008
0.000 0.000 3.087
2.013 -4.343 3.072
2.013 4.343 3.072
```


A relaxed structure of Gd2DySi4Pd4, computed with PBE.

Properties
* crystal system: orthorhombic
* uncorrected energy: -6.07 eV/atom
* magnetization: 0.0 μB/cell
* calculated density: 8.2 g/cm3

POSCAR file:
```
Gd2DySi4Pd4
1.0
-2.001 2.101 12.265
2.001 -2.101 12.265
2.001 2.101 -12.265
Gd Dy Si Pd
2 1 4 4
Cartesian
0.000 0.000 3.579
0.000 0.000 20.951
0.000 2.101 0.000
2.001 0.000 1.172
0.000 0.000 7.519
0.000 0.000 17.011
0.000 2.101 11.093
2.001 0.000 6.138
0.000 0.000 9.923
0.000 0.000 14.607
0.000 2.101 6.127
```